The following is a PBE-GGA calculation of an optimized crystal structure of CaGaAsBr2, from the Alexandria database.

Structure (extended XYZ):
```
5
Lattice="5.2634 0.0000 0.0000 0.0000 5.2634 0.0000 0.0000 0.0000 5.0722" Properties=species:S:1:pos:R:3 pbc="T T T"
Ca 2.6317 2.6317 2.5361
Br 2.6317 0.0000 0.0000
As 0.0000 0.0000 2.5361
Ga 0.0000 0.0000 0.0000
Br 0.0000 2.6317 0.0000
```

- Calculated density: 4.07 g/cm³
- Volume: 140.5 Å³ per cell
- Total magnetic moment: 0.3 μB/f.u.
- Excess energy over the best structure of this formula in the dataset: 0.000 eV/atom
- E_form (uncorrected): -2.6 eV/f.u.

---

The following is a PBE-GGA calculation of an optimized crystal structure of CaGaAsBr2, from the Alexandria database.

Structure (extended XYZ):
```
5
Lattice="5.6214 0.0000 0.0000 0.0000 5.6214 0.0000 0.0000 0.0000 5.9002" Properties=species:S:1:pos:R:3 pbc="T T T"
Br 0.0000 2.8107 0.0000
Ga 2.8107 2.8107 2.9501
Ca 0.0000 0.0000 0.0000
As 0.0000 0.0000 2.9501
Br 2.8107 0.0000 0.0000
```

- Calculated density: 3.07 g/cm³
- Volume: 186.4 Å³ per cell
- Total magnetic moment: 2.0 μB/f.u.
- Excess energy over the best structure of this formula in the dataset: 0.030 eV/atom
- E_form (uncorrected): -2.5 eV/f.u.

---

The following is a PBE-GGA calculation of an optimized crystal structure of CaAs2HBr, from the Alexandria database.

Structure (extended XYZ):
```
5
Lattice="-2.9963 -2.1850 -1.6725 1.3836 -3.3338 1.8765 -3.6101 1.2344 4.8549" Properties=species:S:1:pos:R:3 pbc="T T T"
As -1.4982 -1.0925 -0.8363
As 0.6918 -1.6669 0.9382
Ca -2.6114 -2.1422 2.5294
Br -1.8050 0.6172 2.4274
H 0.0000 0.0000 0.0000
```

- Calculated density: 4.40 g/cm³
- Volume: 102.2 Å³ per cell
- Total magnetic moment: 0.0 μB/f.u.
- Excess energy over the best structure of this formula in the dataset: 0.000 eV/atom

---

The following is a PBE-GGA calculation of an optimized crystal structure of CaAs2HBr, from the Alexandria database.

Structure (extended XYZ):
```
5
Lattice="-5.1437 -1.6287 -1.9730 2.3083 -4.8649 -2.0019 -1.0889 -2.5515 4.9450" Properties=species:S:1:pos:R:3 pbc="T T T"
As -2.5719 -0.8143 -0.9865
H -1.9622 -4.5225 0.4850
As 1.1541 -2.4324 -1.0010
Ca 0.0000 0.0000 0.0000
Br -0.5444 -1.2758 2.4725
```

- Calculated density: 2.40 g/cm³
- Volume: 187.1 Å³ per cell
- Total magnetic moment: 3.6 μB/f.u.
- Excess energy over the best structure of this formula in the dataset: 1.010 eV/atom

---

The following is a PBE-GGA calculation of an optimized crystal structure of CaAsHBr2, from the Alexandria database.

Structure (extended XYZ):
```
5
Lattice="5.6211 0.0000 0.0000 0.0000 5.6211 0.0000 0.0000 0.0000 6.6899" Properties=species:S:1:pos:R:3 pbc="T T T"
Br 0.0000 2.8105 0.0000
Br 2.8105 0.0000 0.0000
As 0.0000 0.0000 3.3450
H 2.8105 2.8105 3.3450
Ca 0.0000 0.0000 0.0000
```

- Calculated density: 2.17 g/cm³
- Volume: 211.4 Å³ per cell
- Total magnetic moment: 4.0 μB/f.u.
- Excess energy over the best structure of this formula in the dataset: 0.352 eV/atom

---

The following is a PBE-GGA calculation of an optimized crystal structure of CaAsHBr2, from the Alexandria database.

Structure (extended XYZ):
```
5
Lattice="5.2600 0.0000 0.0000 0.0000 5.2600 0.0000 0.0000 0.0000 3.7662" Properties=species:S:1:pos:R:3 pbc="T T T"
As 0.0000 0.0000 1.8831
Br 0.0000 2.6300 0.0000
H 0.0000 0.0000 0.0000
Ca 2.6300 2.6300 1.8831
Br 2.6300 0.0000 0.0000
```

- Calculated density: 4.40 g/cm³
- Volume: 104.2 Å³ per cell
- Total magnetic moment: 0.0 μB/f.u.
- Excess energy over the best structure of this formula in the dataset: 0.000 eV/atom

---

The following is a PBE-GGA calculation of an optimized crystal structure of CaHfAs2Br, from the Alexandria database.

Structure (extended XYZ):
```
5
Lattice="5.3240 0.0000 0.0000 0.0000 5.3240 0.0000 0.0000 0.0000 5.1038" Properties=species:S:1:pos:R:3 pbc="T T T"
Hf 2.6620 2.6620 2.5519
As 0.0000 2.6620 0.0000
Ca 0.0000 0.0000 0.0000
Br 0.0000 0.0000 2.5519
As 2.6620 0.0000 0.0000
```

- Calculated density: 5.15 g/cm³
- Volume: 144.7 Å³ per cell
- Total magnetic moment: 0.3 μB/f.u.
- Excess energy over the best structure of this formula in the dataset: 1.203 eV/atom
- E_form (uncorrected): 2.6 eV/f.u.

---

The following is a PBE-GGA calculation of an optimized crystal structure of CaHfAs2Br, from the Alexandria database.

Structure (extended XYZ):
```
5
Lattice="5.1726 0.0000 0.0000 0.0000 5.1726 0.0000 0.0000 0.0000 5.2968" Properties=species:S:1:pos:R:3 pbc="T T T"
As 2.5863 0.0000 0.0000
As 0.0000 2.5863 0.0000
Ca 2.5863 2.5863 2.6484
Br 0.0000 0.0000 2.6484
Hf 0.0000 0.0000 0.0000
```

- Calculated density: 5.25 g/cm³
- Volume: 141.7 Å³ per cell
- Total magnetic moment: 0.0 μB/f.u.
- Excess energy over the best structure of this formula in the dataset: 0.000 eV/atom
- E_form (uncorrected): -3.4 eV/f.u.

---

The following is a PBE-GGA calculation of an optimized crystal structure of CaInAs2Br, from the Alexandria database.

Structure (extended XYZ):
```
5
Lattice="-5.0732 -0.7721 -0.5466 0.8981 -2.9935 -4.1066 0.3309 -4.5981 3.4241" Properties=species:S:1:pos:R:3 pbc="T T T"
As -2.5366 -0.3861 -0.2733
Br 0.1654 -2.2990 1.7121
In 0.0000 0.0000 0.0000
Ca -1.9221 -4.1819 -0.6146
As 0.4490 -1.4968 -2.0533
```

- Calculated density: 4.18 g/cm³
- Volume: 152.9 Å³ per cell
- Total magnetic moment: 0.0 μB/f.u.
- Excess energy over the best structure of this formula in the dataset: 0.000 eV/atom
- E_form (uncorrected): -0.5 eV/f.u.

---

The following is a PBE-GGA calculation of an optimized crystal structure of CaInAs2Br, from the Alexandria database.

Structure (extended XYZ):
```
5
Lattice="-0.5425 -5.3763 -1.5010 5.5179 -0.2888 -0.9600 0.8438 -1.5712 5.3228" Properties=species:S:1:pos:R:3 pbc="T T T"
As -0.2712 -2.6882 -0.7505
Ca 0.0000 0.0000 0.0000
Br 0.4219 -0.7856 2.6614
As 2.7589 -0.1444 -0.4800
In 2.9096 -3.6181 1.4309
```

- Calculated density: 3.62 g/cm³
- Volume: 176.6 Å³ per cell
- Total magnetic moment: 2.0 μB/f.u.
- Excess energy over the best structure of this formula in the dataset: 0.188 eV/atom
- E_form (uncorrected): 0.4 eV/f.u.

---

The following is a PBE-GGA calculation of an optimized crystal structure of CaInAsBr2, from the Alexandria database.

Structure (extended XYZ):
```
5
Lattice="5.4693 0.0000 0.0000 0.0000 5.4693 0.0000 0.0000 0.0000 5.3529" Properties=species:S:1:pos:R:3 pbc="T T T"
Br 2.7347 0.0000 0.0000
Br 0.0000 2.7347 0.0000
As 0.0000 0.0000 2.6764
In 0.0000 0.0000 0.0000
Ca 2.7347 2.7347 2.6764
```

- Calculated density: 4.04 g/cm³
- Volume: 160.1 Å³ per cell
- Total magnetic moment: 0.0 μB/f.u.
- Excess energy over the best structure of this formula in the dataset: 0.147 eV/atom
- E_form (uncorrected): -2.3 eV/f.u.

---

The following is a PBE-GGA calculation of an optimized crystal structure of CaInAsBr2, from the Alexandria database.

Structure (extended XYZ):
```
5
Lattice="-2.7910 -4.3923 -2.1542 4.3961 -1.1635 -3.3231 2.2546 -3.4957 4.2065" Properties=species:S:1:pos:R:3 pbc="T T T"
Br 2.1980 -0.5818 -1.6616
In 1.9298 -4.5258 -0.6354
Ca 0.0000 0.0000 0.0000
Br -1.3955 -2.1961 -1.0771
As 1.1273 -1.7479 2.1032
```

- Calculated density: 3.45 g/cm³
- Volume: 187.7 Å³ per cell
- Total magnetic moment: 2.0 μB/f.u.
- Excess energy over the best structure of this formula in the dataset: 0.000 eV/atom
- E_form (uncorrected): -3.0 eV/f.u.

---

The following is a PBE-GGA calculation of an optimized crystal structure of CaAsIrBr2, from the Alexandria database.

Structure (extended XYZ):
```
5
Lattice="-0.7801 -5.1224 1.3480 5.2865 -0.6683 0.5199 -0.3800 1.6240 5.9513" Properties=species:S:1:pos:R:3 pbc="T T T"
Br -0.3900 -2.5612 0.6740
As -0.1900 0.8120 2.9757
Br 2.6433 -0.3341 0.2600
Ca 0.0000 0.0000 0.0000
Ir 2.0632 -2.0834 3.9096
```

- Calculated density: 4.38 g/cm³
- Volume: 177.2 Å³ per cell
- Total magnetic moment: 1.0 μB/f.u.
- Excess energy over the best structure of this formula in the dataset: 0.989 eV/atom
- E_form (uncorrected): 3.5 eV/f.u.

---

The following is a PBE-GGA calculation of an optimized crystal structure of CaAs2IrBr, from the Alexandria database.

Structure (extended XYZ):
```
5
Lattice="5.4212 0.0000 0.0000 0.0000 5.4212 0.0000 0.0000 0.0000 5.2177" Properties=species:S:1:pos:R:3 pbc="T T T"
As 0.0000 2.7106 0.0000
Ir 2.7106 2.7106 2.6089
As 2.7106 0.0000 0.0000
Br 0.0000 0.0000 2.6089
Ca 0.0000 0.0000 0.0000
```

- Calculated density: 5.00 g/cm³
- Volume: 153.3 Å³ per cell
- Total magnetic moment: 1.6 μB/f.u.
- Excess energy over the best structure of this formula in the dataset: 1.422 eV/atom
- E_form (uncorrected): 6.3 eV/f.u.

---

The following is a PBE-GGA calculation of an optimized crystal structure of CaAsIrBr2, from the Alexandria database.

Structure (extended XYZ):
```
5
Lattice="-1.2275 5.1755 0.0579 -4.5269 -1.0447 -2.5907 -2.2232 -0.5733 4.1161" Properties=species:S:1:pos:R:3 pbc="T T T"
Br -2.2635 -0.5223 -1.2953
Ir 0.0000 0.0000 0.0000
Br -0.6137 2.5878 0.0289
Ca -3.9888 1.7788 0.7916
As -1.1116 -0.2867 2.0580
```

- Calculated density: 5.82 g/cm³
- Volume: 133.4 Å³ per cell
- Total magnetic moment: 0.0 μB/f.u.
- Excess energy over the best structure of this formula in the dataset: 0.000 eV/atom
- E_form (uncorrected): -1.4 eV/f.u.